# 1
Mg2BiBr | PBE | optimized geometry

Results
Offset from the most stable computed form, eV per formula unit: 0.00
Formation energy (no corrections), eV/atom: -0.639

POSCAR file:
```
Mg2BiBr
1.0
4.674 0.000 0.001
0.000 6.930 0.000
-2.263 0.000 8.733
Mg Bi Br
4 2 2
direct
0.180 0.738 0.635
0.180 0.262 0.635
0.540 0.761 0.344
0.540 0.239 0.344
0.042 0.500 0.347
0.679 0.000 0.632
0.439 0.000 0.121
0.294 0.500 0.858
```

***

# 2
Si2PW | PBE | optimized geometry

Results
DOS(E_F), states/eV per cell: 2.5
Formation energy (no corrections), eV/atom: 0.441

POSCAR file:
```
Si2PW
1.0
2.892 0.000 0.000
0.000 2.892 0.000
0.000 0.000 6.933
W P Si
1 1 2
direct
0.500 0.500 0.250
0.500 0.500 0.750
0.000 0.000 0.005
0.000 0.000 0.495
```

***

# 3
Ni2TePt2 | PBE | optimized geometry

Results
DOS(E_F), states/eV per cell: 9.2
Formation energy (no corrections), eV/atom: 0.064

POSCAR file:
```
Ni2TePt2
1.0
-0.230 -4.065 -5.100
6.297 -1.466 0.884
-0.944 -2.719 2.210
Ni Pt Te
4 4 2
direct
0.636 0.136 0.000
0.864 0.636 0.000
0.364 0.864 0.000
0.136 0.364 0.000
0.154 0.654 0.500
0.846 0.346 0.500
0.346 0.154 0.500
0.654 0.846 0.500
0.500 0.500 0.000
0.000 0.000 0.000
```

***

# 4
LaTcRh2 | PBE | optimized geometry

Results
Offset from the most stable computed form, eV per formula unit: 0.15
DOS(E_F), states/eV per cell: 5.0
DFT formation energy, eV per atom: -0.0195

POSCAR file:
```
LaTcRh2
1.0
-1.331 -4.349 -0.795
0.177 -0.584 2.899
-4.992 1.299 1.250
Rh La Tc
2 1 1
direct
0.500 0.134 0.306
0.000 0.141 0.982
0.500 0.701 0.799
0.000 0.523 0.413
```

***

# 5
Sr2DyZrAs4 | PBE | optimized geometry

Results
DOS(E_F), states/eV per cell: 3.9
DFT formation energy, eV per atom: -1.1764

POSCAR file:
```
Sr2DyZrAs4
1.0
-1.255 1.499 3.646
-6.806 -1.683 -1.651
3.116 -5.888 3.494
Zr As Sr Dy
1 4 2 1
direct
0.000 0.000 0.000
0.500 0.228 0.214
0.500 0.772 0.786
0.000 0.249 0.781
0.000 0.751 0.219
0.000 0.500 0.500
0.500 0.000 0.500
0.500 0.500 0.000
```

***

# 6
CrAgCl | PBE | optimized geometry

Results
Offset from the most stable computed form, eV per formula unit: 0.15
DOS(E_F), states/eV per cell: 1.3
Formation energy (no corrections), eV/atom: 0.070

POSCAR file:
```
CrAgCl
1.0
6.851 -0.244 0.151
5.964 2.801 0.420
0.887 -1.116 2.846
Ag Cr Cl
1 1 1
direct
0.020 0.020 0.980
0.678 0.678 0.322
0.303 0.303 0.697
```

***

# 7
MnMo2Cl | PBE | optimized geometry

Results
Offset from the most stable computed form, eV per formula unit: 3.44
DOS(E_F), states/eV per cell: 7.3
Formation energy (no corrections), eV/atom: 1.031

POSCAR file:
```
MnMo2Cl
1.0
5.552 0.000 0.000
0.000 5.552 0.000
2.776 2.776 4.973
Cl Mn Mo
2 2 4
direct
0.500 0.500 0.000
0.250 0.750 0.500
0.000 0.000 0.000
0.750 0.250 0.500
0.375 0.358 0.750
0.108 0.625 0.250
0.875 0.892 0.750
0.642 0.125 0.250
```

***

# 8
Rb2BaBr | PBE | optimized geometry

Results
Offset from the most stable computed form, eV per formula unit: 0.00
DOS(E_F), states/eV per cell: 3.2
Formation energy (no corrections), eV/atom: -0.719

POSCAR file:
```
Rb2BaBr
1.0
4.626 0.000 0.000
2.313 4.006 0.000
2.313 1.335 13.187
Rb Ba Br
2 1 1
direct
0.111 0.111 0.666
0.889 0.889 0.334
0.000 0.000 0.000
0.500 0.500 0.500
```